{
  "formula": "CrGaMoO6",
  "functional": "PBE+U",
  "state": "optimized geometry",
  "lattice": [[-2.357, -0.472, 3.987], [-1.474, -4.198, -1.369], [7.239, -3.792, 3.831]],
  "species": ["Cr", "Cr", "Ga", "Ga", "Mo", "Mo", "O", "O", "O", "O", "O", "O", "O", "O", "O", "O", "O", "O"],
  "fractional_positions": [[0.500, 0.500, 0.502], [0.000, 0.000, 0.002], [0.500, 0.500, 0.831], [0.000, 0.000, 0.331], [0.500, 0.500, 0.168], [0.000, 0.000, 0.668], [0.194, 0.806, 0.505], [0.806, 0.194, 0.505], [0.306, 0.306, 0.005], [0.694, 0.694, 0.005], [0.200, 0.800, 0.168], [0.800, 0.200, 0.168], [0.300, 0.300, 0.668], [0.700, 0.700, 0.668], [0.805, 0.195, 0.826], [0.195, 0.805, 0.826], [0.695, 0.695, 0.326], [0.305, 0.305, 0.326]],
  "space_group": "P4_2nm",
  "dft_energy_ev_per_atom": -6.9730,
  "magmom_total_mub_per_fu": 2.998
}